First-principles (PBE) data for an optimized crystal structure of KIr2Rh, as listed in Alexandria.

Computed properties:
Energy relative to the elements: 0.649 eV per atom

Lattice parameters (Å, degrees): 2.7516 2.7516 10.2318 90.00 90.00 118.97
With the nearest neighbours (Å) after each atom.
Sites, in units of the cell vectors:
K (0.0000, 0.0000, 0.0000)  6 K 2.75-2.79
Ir (0.5000, 0.5000, 0.2783)  2 Rh 2.66, 6 Ir 2.75-2.79
Ir (0.5000, 0.5000, 0.7217)  2 Rh 2.66, 6 Ir 2.75-2.79
Rh (0.0000, 0.0000, 0.5000)  4 Ir 2.66, 6 Rh 2.75-2.79

First-principles (PBE) data for an optimized crystal structure of SbPt2Br, as listed in Alexandria.

Lattice parameters (Å, degrees): 4.5324 4.5324 3.7785 90.00 90.00 90.00
With the nearest neighbours (Å) after each atom.
Sites, in units of the cell vectors:
Sb (0.0000, 0.0000, 0.0000)  8 Pt 2.95, 4 Br 3.20
Pt (0.0000, 0.5000, 0.5000)  4 Sb 2.95, 4 Br 2.95, 4 Pt 3.20
Pt (0.5000, 0.0000, 0.5000)  4 Sb 2.95, 4 Br 2.95, 4 Pt 3.20
Br (0.5000, 0.5000, 0.0000)  8 Pt 2.95, 4 Sb 3.20

First-principles (PBE) data for an optimized crystal structure of YGeI3, as listed in Alexandria.

Lattice parameters (Å, degrees): 6.0141 6.0141 6.0141 90.00 90.00 90.00
With the nearest neighbours (Å) after each atom.
Sites, in units of the cell vectors:
Y (0.0000, 0.0000, 0.0000)  6 I 3.01
Ge (0.5000, 0.5000, 0.5000)  12 I 4.25
I (0.0000, 0.0000, 0.5000)  2 Y 3.01
I (0.0000, 0.5000, 0.0000)  2 Y 3.01
I (0.5000, 0.0000, 0.0000)  2 Y 3.01

First-principles (PBE) data for an optimized crystal structure of BaTaTc2, as listed in Alexandria.

Computed properties:
Energy relative to the elements: 1.197 eV per atom

Lattice parameters (Å, degrees): 3.2469 4.5417 5.2698 90.00 90.00 90.00
With the nearest neighbours (Å) after each atom.
Sites, in units of the cell vectors:
Ba (0.0000, 0.0000, 0.0000)  4 Tc 2.79, 4 Ta 3.09
Ta (0.5000, 0.0000, 0.5000)  4 Tc 2.79, 4 Ba 3.09
Tc (0.0000, 0.5000, 0.5000)  4 Ta 2.79, 4 Tc 3.09
Tc (0.5000, 0.5000, 0.0000)  4 Ba 2.79, 4 Tc 3.09

Number 1: polymorph energy (0 for the lowest one) 195 meV/atom. Number 2: polymorph energy (0 for the lowest one) 509 meV/atom. Number 3: polymorph energy (0 for the lowest one) 0 meV/atom. Number 4: polymorph energy (0 for the lowest one) 750 meV/atom.